No. 1
PmPrGdSn after structural relaxation, computed with PBE.

Computed properties:
Final energy in eV/atom: -7.2010

a b c (Å): 7.838 7.838 7.838
angles (deg): 90.00 90.00 90.00
Space group F-43m (No. 216)
Asymmetric unit:
Pm 0.000 0.000 0.000 (multiplicity 4)
Pr 0.000 0.000 0.500 (multiplicity 4)
Gd 0.250 0.250 0.750 (multiplicity 4)
Sn 0.250 0.250 0.250 (multiplicity 4)


No. 2
AlFe3Ni6 after structural relaxation, computed with PBE.

Computed properties:
Final energy in eV/atom: -6.5656

a b c (Å): 7.918 3.583 8.009
angles (deg): 90.00 90.84 90.00
Space group P2_1/m (No. 11)
Asymmetric unit:
Al 0.058 0.250 0.385 (multiplicity 2)
Fe 0.250 0.250 0.001 (multiplicity 2)
Fe 0.347 0.750 0.796 (multiplicity 2)
Fe 0.446 0.250 0.600 (multiplicity 2)
Ni 0.052 0.750 0.903 (multiplicity 2)
Ni 0.145 0.250 0.698 (multiplicity 2)
Ni 0.156 0.750 0.193 (multiplicity 2)
Ni 0.247 0.750 0.496 (multiplicity 2)
Ni 0.357 0.250 0.298 (multiplicity 2)
Ni 0.453 0.750 0.099 (multiplicity 2)


No. 3
Hf2TiS6 after structural relaxation, computed with PBE.

Computed properties:
Raw formation energy in eV/atom: -1.34

a b c (Å): 6.026 6.026 10.822
angles (deg): 90.00 90.00 90.00
Space group P4_2/mnm (No. 136)
Asymmetric unit:
Hf 0.000 0.000 0.167 (multiplicity 4)
Ti 0.000 0.000 0.500 (multiplicity 2)
S 0.195 0.195 0.340 (multiplicity 8)
S 0.202 0.202 0.000 (multiplicity 4)


No. 4
HgSeBr2 after structural relaxation, computed with PBE.

Computed properties:
Raw formation energy in eV/atom: -0.05

a b c (Å): 3.813 8.661 9.156
angles (deg): 90.00 90.00 90.00
Space group Cmm2 (No. 35)
Asymmetric unit:
Hg 0.000 0.000 0.000 (multiplicity 2)
Se 0.000 0.500 0.793 (multiplicity 2)
Br 0.000 0.000 0.588 (multiplicity 2)
Br 0.000 0.500 0.210 (multiplicity 2)


No. 5
SrLiGa2Hg4 after structural relaxation, computed with PBE.

Computed properties:
Final energy in eV/atom: -1.6256

a b c (Å): 4.9129 4.9129 26.8966
angles (deg): 90.00 90.00 120.00
Space group R-3m (No. 166, hexagonal axes)
Asymmetric unit:
Sr 0.0000 0.0000 0.0000 (multiplicity 3)
Li 0.0000 0.0000 0.5000 (multiplicity 3)
Ga 0.0000 0.0000 0.2466 (multiplicity 6)
Hg 0.0000 0.0000 0.1346 (multiplicity 6)
Hg 0.0000 0.0000 0.3955 (multiplicity 6)


No. 6
GdEr2Ag after structural relaxation, computed with PBE.

Computed properties:
Final energy in eV/atom: -6.6420

a b c (Å): 3.541 3.541 8.844
angles (deg): 90.00 90.00 90.00
Space group P4/mmm (No. 123)
Asymmetric unit:
Gd 0.000 0.000 0.000 (multiplicity 1)
Er 0.500 0.500 0.289 (multiplicity 2)
Ag 0.000 0.000 0.500 (multiplicity 1)